# In2Sb2Au3 (GGA-PBE, optimized geometry)
data_In2Sb2Au3
_chemical_formula_sum 'In4 Sb4 Au6'
_cell_length_a 6.974
_cell_length_b 6.633
_cell_length_c 7.241
_cell_angle_alpha 90.00
_cell_angle_beta 90.00
_cell_angle_gamma 85.83
_symmetry_space_group_name_H-M 'P 1'
_symmetry_Int_Tables_number 1
loop_
_symmetry_equiv_pos_as_xyz
'x,y,z'
loop_
_atom_site_label
_atom_site_fract_x
_atom_site_fract_y
_atom_site_fract_z
Sb1 0.871 0.634 0.848
Sb2 0.871 0.134 0.652
Sb3 0.129 0.366 0.152
Sb4 0.129 0.866 0.348
In1 0.634 0.469 0.314
In2 0.634 0.969 0.186
In3 0.366 0.031 0.814
In4 0.366 0.531 0.686
Au1 0.368 0.182 0.445
Au2 0.632 0.818 0.555
Au3 0.632 0.318 0.945
Au4 0.368 0.682 0.055
Au5 0.000 0.000 0.000
Au6 0.000 0.500 0.500
# Space-group type = P2_1/c

***

# InSbAu2 (GGA-PBE, optimized geometry)
data_InSbAu2
_chemical_formula_sum 'In1 Sb1 Au2'
_cell_length_a 4.106
_cell_length_b 4.106
_cell_length_c 6.973
_cell_angle_alpha 72.88
_cell_angle_beta 72.88
_cell_angle_gamma 60.00
_symmetry_space_group_name_H-M 'P 1'
_symmetry_Int_Tables_number 1
loop_
_symmetry_equiv_pos_as_xyz
'x,y,z'
loop_
_atom_site_label
_atom_site_fract_x
_atom_site_fract_y
_atom_site_fract_z
Au1 0.085 0.085 0.744
Au2 0.248 0.248 0.256
In1 0.498 0.498 0.507
Sb1 0.669 0.669 0.993
# Space-group type = R3m

***

# InSb2Au2 (GGA-PBE, optimized geometry)
data_InSb2Au2
_chemical_formula_sum 'In1 Sb2 Au2'
_cell_length_a 4.491
_cell_length_b 4.491
_cell_length_c 7.251
_cell_angle_alpha 71.96
_cell_angle_beta 71.96
_cell_angle_gamma 90.00
_symmetry_space_group_name_H-M 'P 1'
_symmetry_Int_Tables_number 1
loop_
_symmetry_equiv_pos_as_xyz
'x,y,z'
loop_
_atom_site_label
_atom_site_fract_x
_atom_site_fract_y
_atom_site_fract_z
Sb1 0.381 0.381 0.239
Sb2 0.619 0.619 0.761
In1 0.000 0.000 0.000
Au1 0.250 0.750 0.500
Au2 0.750 0.250 0.500
# Space-group type = I4/mmm

***

# InSbAu2 (GGA-PBE, optimized geometry)
data_InSbAu2
_chemical_formula_sum 'In1 Sb1 Au2'
_cell_length_a 3.776
_cell_length_b 4.318
_cell_length_c 5.739
_cell_angle_alpha 75.33
_cell_angle_beta 90.00
_cell_angle_gamma 90.00
_symmetry_space_group_name_H-M 'P 1'
_symmetry_Int_Tables_number 1
loop_
_symmetry_equiv_pos_as_xyz
'x,y,z'
loop_
_atom_site_label
_atom_site_fract_x
_atom_site_fract_y
_atom_site_fract_z
Sb1 0.500 0.815 0.834
Au1 0.500 0.959 0.320
Au2 0.000 0.289 0.932
In1 0.000 0.438 0.414
# Space-group type = Pm

***

# InSbAu4 (GGA-PBE, optimized geometry)
data_InSbAu4
_chemical_formula_sum 'In2 Sb2 Au8'
_cell_length_a 7.184
_cell_length_b 5.706
_cell_length_c 6.617
_cell_angle_alpha 90.00
_cell_angle_beta 90.00
_cell_angle_gamma 76.68
_symmetry_space_group_name_H-M 'P 1'
_symmetry_Int_Tables_number 1
loop_
_symmetry_equiv_pos_as_xyz
'x,y,z'
loop_
_atom_site_label
_atom_site_fract_x
_atom_site_fract_y
_atom_site_fract_z
Sb1 0.500 0.750 0.838
Sb2 0.500 0.250 0.162
In1 0.000 0.750 0.337
In2 0.000 0.250 0.663
Au1 0.314 0.443 0.540
Au2 0.314 0.943 0.460
Au3 0.686 0.557 0.460
Au4 0.686 0.057 0.540
Au5 0.820 0.447 0.045
Au6 0.820 0.947 0.955
Au7 0.180 0.553 0.955
Au8 0.180 0.053 0.045
# Space-group type = P2/c

***

# InSbAu6 (GGA-PBE, optimized geometry)
data_InSbAu6
_chemical_formula_sum 'In1 Sb1 Au6'
_cell_length_a 5.247
_cell_length_b 5.247
_cell_length_c 6.835
_cell_angle_alpha 112.33
_cell_angle_beta 112.33
_cell_angle_gamma 90.37
_symmetry_space_group_name_H-M 'P 1'
_symmetry_Int_Tables_number 1
loop_
_symmetry_equiv_pos_as_xyz
'x,y,z'
loop_
_atom_site_label
_atom_site_fract_x
_atom_site_fract_y
_atom_site_fract_z
Sb1 0.500 0.500 0.000
Au1 0.873 0.371 0.746
Au2 0.371 0.873 0.746
Au3 0.127 0.629 0.254
Au4 0.752 0.752 0.507
Au5 0.248 0.248 0.493
Au6 0.629 0.127 0.254
In1 0.000 0.000 0.000
# Space-group type = C2/m

***

# InSbAu2 (GGA-PBE, optimized geometry)
data_InSbAu2
_chemical_formula_sum 'In1 Sb1 Au2'
_cell_length_a 3.878
_cell_length_b 4.243
_cell_length_c 5.786
_cell_angle_alpha 90.00
_cell_angle_beta 90.00
_cell_angle_gamma 90.00
_symmetry_space_group_name_H-M 'P 1'
_symmetry_Int_Tables_number 1
loop_
_symmetry_equiv_pos_as_xyz
'x,y,z'
loop_
_atom_site_label
_atom_site_fract_x
_atom_site_fract_y
_atom_site_fract_z
Au1 0.500 0.500 0.375
Au2 0.000 0.000 0.875
In1 0.000 0.000 0.375
Sb1 0.500 0.500 0.875
# Space-group type = Pmmm

***

# InSb2Au2 (GGA-PBE, optimized geometry)
data_InSb2Au2
_chemical_formula_sum 'In2 Sb4 Au4'
_cell_length_a 7.622
_cell_length_b 7.622
_cell_length_c 4.075
_cell_angle_alpha 90.00
_cell_angle_beta 90.00
_cell_angle_gamma 90.00
_symmetry_space_group_name_H-M 'P 1'
_symmetry_Int_Tables_number 1
loop_
_symmetry_equiv_pos_as_xyz
'x,y,z'
loop_
_atom_site_label
_atom_site_fract_x
_atom_site_fract_y
_atom_site_fract_z
Sb1 0.675 0.825 0.500
Sb2 0.825 0.325 0.500
Sb3 0.175 0.675 0.500
Sb4 0.325 0.175 0.500
In1 0.500 0.500 0.000
In2 0.000 0.000 0.000
Au1 0.131 0.369 0.000
Au2 0.869 0.631 0.000
Au3 0.631 0.131 0.000
Au4 0.369 0.869 0.000
# Space-group type = P4/mbm

***

# InSbAu2 (GGA-PBE, optimized geometry)
data_InSbAu2
_chemical_formula_sum 'In1 Sb1 Au2'
_cell_length_a 3.694
_cell_length_b 4.325
_cell_length_c 6.224
_cell_angle_alpha 66.54
_cell_angle_beta 90.00
_cell_angle_gamma 90.00
_symmetry_space_group_name_H-M 'P 1'
_symmetry_Int_Tables_number 1
loop_
_symmetry_equiv_pos_as_xyz
'x,y,z'
loop_
_atom_site_label
_atom_site_fract_x
_atom_site_fract_y
_atom_site_fract_z
Au1 0.000 0.001 0.003
Au2 0.000 0.499 0.497
In1 0.500 0.250 0.250
Sb1 0.500 0.750 0.750
# Space-group type = P2/m

***

# InSb2Au5 (GGA-PBE, optimized geometry)
data_InSb2Au5
_chemical_formula_sum 'In2 Sb4 Au10'
_cell_length_a 4.948
_cell_length_b 5.914
_cell_length_c 12.550
_cell_angle_alpha 90.00
_cell_angle_beta 90.00
_cell_angle_gamma 96.84
_symmetry_space_group_name_H-M 'P 1'
_symmetry_Int_Tables_number 1
loop_
_symmetry_equiv_pos_as_xyz
'x,y,z'
loop_
_atom_site_label
_atom_site_fract_x
_atom_site_fract_y
_atom_site_fract_z
Au1 0.190 0.121 0.141
Au2 0.810 0.879 0.641
Au3 0.693 0.216 0.465
Au4 0.190 0.121 0.359
Au5 0.307 0.784 0.535
Au6 0.660 0.964 0.250
Au7 0.693 0.216 0.035
Au8 0.340 0.036 0.750
Au9 0.810 0.879 0.859
Au10 0.307 0.784 0.965
Sb1 0.799 0.692 0.070
Sb2 0.201 0.308 0.930
Sb3 0.201 0.308 0.570
Sb4 0.799 0.692 0.430
In1 0.754 0.434 0.750
In2 0.246 0.566 0.250
# Space-group type = P2_1/m

***

Number 1: total energy -48.392 eV for the cell shown, uncorrected formation energy -0.09 eV/atom. Number 2: total energy -13.776 eV for the cell shown, uncorrected formation energy -0.09 eV/atom. Number 3: total energy -17.305 eV for the cell shown, uncorrected formation energy 0.05 eV/atom. Number 4: total energy -13.901 eV for the cell shown, uncorrected formation energy -0.12 eV/atom. Number 5: total energy -40.600 eV for the cell shown, uncorrected formation energy -0.05 eV/atom. Number 6: total energy -26.879 eV for the cell shown, uncorrected formation energy -0.04 eV/atom. Number 7: total energy -13.839 eV for the cell shown, uncorrected formation energy -0.11 eV/atom. Number 8: total energy -34.624 eV for the cell shown, uncorrected formation energy 0.05 eV/atom. Number 9: total energy -13.424 eV for the cell shown, uncorrected formation energy 0.00 eV/atom. Number 10: total energy -55.032 eV for the cell shown, uncorrected formation energy -0.02 eV/atom.